(1)
# Ti2CuSbRh, relaxed, DFT GGA-PBE
# Final energy (eV/f.u.): -26.2
# Total magnetic moment (μB/cell): 0.00
# Fermi-level density of states (states/eV per atom): 1.386
# Uncorrected formation energy (eV/f.u.): 5.144
data_Ti2CuSbRh
_symmetry_space_group_name_H-M 'P 4/m m m'
_symmetry_Int_Tables_number 123
_symmetry_space_group_name_Hall '-P 4 2'
_cell_length_a 4.9993
_cell_length_b 4.9993
_cell_length_c 4.5262
_cell_angle_alpha 90.00
_cell_angle_beta 90.00
_cell_angle_gamma 90.00
loop_
_atom_site_label
_atom_site_type_symbol
_atom_site_fract_x
_atom_site_fract_y
_atom_site_fract_z
_atom_site_occupancy
Ti1 Ti 0.0000 0.5000 0.0000 1
Cu1 Cu 0.0000 0.0000 0.5000 1
Sb1 Sb 0.0000 0.0000 0.0000 1
Rh1 Rh 0.5000 0.5000 0.5000 1

=====

(2)
# CuTc2Hg, relaxed, DFT GGA-PBE
# Final energy (eV/f.u.): -23.4
# DFT formation energy (eV/atom): 0.429
# Total magnetic moment (μB/cell): 0.00
# Fermi-level density of states (states/eV per atom): 0.810
data_CuTc2Hg
_symmetry_space_group_name_H-M 'C m m 2'
_symmetry_Int_Tables_number 35
_cell_length_a 2.9525
_cell_length_b 4.6330
_cell_length_c 9.3666
_cell_angle_alpha 90.00
_cell_angle_beta 90.00
_cell_angle_gamma 90.00
loop_
_symmetry_equiv_pos_as_xyz
'x,y,z'
'-x,-y,z'
'-x,y,z'
'x,-y,z'
'x+1/2,y+1/2,z'
'-x+1/2,-y+1/2,z'
'-x+1/2,y+1/2,z'
'x+1/2,-y+1/2,z'
loop_
_atom_site_label
_atom_site_type_symbol
_atom_site_fract_x
_atom_site_fract_y
_atom_site_fract_z
_atom_site_occupancy
Cu1 Cu 0.0000 0.0000 0.0000 1
Tc1 Tc 0.0000 0.0000 0.4593 1
Tc2 Tc 0.0000 0.5000 0.2340 1
Hg1 Hg 0.0000 0.5000 0.7422 1

=====

(3)
# LaDyAlIn, relaxed, DFT GGA-PBE
# Final energy (eV/f.u.): -17.7
# DFT formation energy (eV/atom): -0.417
# Total magnetic moment (μB/cell): 0.00
# Fermi-level density of states (states/eV per atom): 0.268
data_LaDyAlIn
_symmetry_space_group_name_H-M 'F -4 3 m'
_symmetry_Int_Tables_number 216
_symmetry_space_group_name_Hall 'F -4 2 3'
_cell_length_a 7.5720
_cell_length_b 7.5720
_cell_length_c 7.5720
_cell_angle_alpha 90.00
_cell_angle_beta 90.00
_cell_angle_gamma 90.00
loop_
_atom_site_label
_atom_site_type_symbol
_atom_site_fract_x
_atom_site_fract_y
_atom_site_fract_z
_atom_site_occupancy
La1 La 0.0000 0.0000 0.0000 1
Dy1 Dy 0.0000 0.0000 0.5000 1
Al1 Al 0.2500 0.2500 0.7500 1
In1 In 0.2500 0.2500 0.2500 1

=====

(4)
# LiTiB, relaxed, DFT GGA-PBE
# Final energy (eV/f.u.): -16.8
# DFT formation energy (eV/atom): -0.106
# Total magnetic moment (μB/cell): 0.00
# Fermi-level density of states (states/eV per atom): 0.752
data_LiTiB
_symmetry_space_group_name_H-M 'P 1'
_symmetry_Int_Tables_number 1
_cell_length_a 3.0450
_cell_length_b 4.5030
_cell_length_c 6.0312
_cell_angle_alpha 99.00
_cell_angle_beta 104.54
_cell_angle_gamma 90.01
loop_
_symmetry_equiv_pos_as_xyz
'x,y,z'
loop_
_atom_site_label
_atom_site_type_symbol
_atom_site_fract_x
_atom_site_fract_y
_atom_site_fract_z
_atom_site_occupancy
Li1 Li 0.0000 0.0000 0.0000 1
Li2 Li 0.4285 0.4578 0.8553 1
Ti1 Ti 0.1725 0.5864 0.3406 1
Ti2 Ti 0.7515 0.1346 0.4996 1
B1 B 0.3398 0.8872 0.6772 1
B2 B 0.8193 0.6911 0.6358 1

=====

(5)
# Sr2SnSb4Pd3, relaxed, DFT GGA-PBE
# Final energy (eV/f.u.): -45.6
# Total magnetic moment (μB/cell): 0.00
# Fermi-level density of states (states/eV per atom): 0.527
# Uncorrected formation energy (eV/f.u.): -6.157
data_Sr2SnSb4Pd3
_symmetry_space_group_name_H-M 'P -4 m 2'
_symmetry_Int_Tables_number 115
_cell_length_a 4.7744
_cell_length_b 4.7744
_cell_length_c 11.2796
_cell_angle_alpha 90.00
_cell_angle_beta 90.00
_cell_angle_gamma 90.00
loop_
_symmetry_equiv_pos_as_xyz
'x,y,z'
'y,-x,-z'
'-x,-y,z'
'-y,x,-z'
'-x,y,z'
'-y,-x,-z'
'x,-y,z'
'y,x,-z'
loop_
_atom_site_label
_atom_site_type_symbol
_atom_site_fract_x
_atom_site_fract_y
_atom_site_fract_z
_atom_site_occupancy
Sr1 Sr 0.0000 0.5000 0.2389 1
Sn1 Sn 0.0000 0.0000 0.5000 1
Sb1 Sb 0.0000 0.0000 0.0000 1
Sb2 Sb 0.0000 0.5000 0.6466 1
Sb3 Sb 0.5000 0.5000 0.0000 1
Pd1 Pd 0.0000 0.5000 0.8800 1
Pd2 Pd 0.5000 0.5000 0.5000 1

=====

(6)
# Hg2MoAs, relaxed, DFT GGA-PBE
# Final energy (eV/f.u.): -13.7
# DFT formation energy (eV/atom): 0.590
# Total magnetic moment (μB/cell): 2.17
# Fermi-level density of states (states/eV per atom): 0.422
data_Hg2MoAs
_symmetry_space_group_name_H-M 'I -4 m 2'
_symmetry_Int_Tables_number 119
_symmetry_space_group_name_Hall 'I -4 -2'
_cell_length_a 4.1980
_cell_length_b 4.1980
_cell_length_c 8.7921
_cell_angle_alpha 90.00
_cell_angle_beta 90.00
_cell_angle_gamma 90.00
loop_
_atom_site_label
_atom_site_type_symbol
_atom_site_fract_x
_atom_site_fract_y
_atom_site_fract_z
_atom_site_occupancy
Hg1 Hg 0.0000 0.0000 0.0000 1
Hg2 Hg 0.0000 0.5000 0.2500 1
Mo1 Mo 0.0000 0.5000 0.7500 1
As1 As 0.0000 0.0000 0.5000 1

=====

(7)
# Hf7Sn2Ge2, relaxed, DFT GGA-PBE
# Final energy (eV/f.u.): -87.5
# DFT formation energy (eV/atom): -0.052
# Total magnetic moment (μB/cell): 0.00
# Fermi-level density of states (states/eV per atom): 0.741
data_Hf7Sn2Ge2
_symmetry_space_group_name_H-M 'C m m m'
_symmetry_Int_Tables_number 65
_symmetry_space_group_name_Hall '-C 2 2'
_cell_length_a 8.1662
_cell_length_b 9.9029
_cell_length_c 6.2921
_cell_angle_alpha 90.00
_cell_angle_beta 90.00
_cell_angle_gamma 90.00
loop_
_atom_site_label
_atom_site_type_symbol
_atom_site_fract_x
_atom_site_fract_y
_atom_site_fract_z
_atom_site_occupancy
Hf1 Hf 0.0000 0.0000 0.0000 1
Hf2 Hf 0.0000 0.5000 0.2533 1
Hf3 Hf 0.2500 0.2500 0.2600 1
Sn1 Sn 0.1796 0.0000 0.5000 1
Ge1 Ge 0.0000 0.2744 0.0000 1

=====

(8)
# Na6Cl4O, relaxed, DFT GGA-PBE
# Final energy (eV/f.u.): -37.9
# Total magnetic moment (μB/cell): 0.09
# Fermi-level density of states (states/eV per atom): 0.000
# Uncorrected formation energy (eV/f.u.): -17.670
data_Na6Cl4O
_symmetry_space_group_name_H-M 'R -3 c'
_symmetry_Int_Tables_number 167
_symmetry_space_group_name_Hall '-R 3 2"c'
_cell_length_a 11.0941
_cell_length_b 11.0941
_cell_length_c 13.5589
_cell_angle_alpha 90.00
_cell_angle_beta 90.00
_cell_angle_gamma 120.00
loop_
_atom_site_label
_atom_site_type_symbol
_atom_site_fract_x
_atom_site_fract_y
_atom_site_fract_z
_atom_site_occupancy
Na1 Na 0.0301 0.1783 0.4020 1
Cl1 Cl 0.0000 0.0000 0.2500 1
Cl2 Cl 0.0000 0.3499 0.2500 1
O1 O 0.0000 0.0000 0.0000 1

=====

Please write out number 7 again, unchanged.
# Hf7Sn2Ge2, relaxed, DFT GGA-PBE
# Final energy (eV/f.u.): -87.5
# DFT formation energy (eV/atom): -0.052
# Total magnetic moment (μB/cell): 0.00
# Fermi-level density of states (states/eV per atom): 0.741
data_Hf7Sn2Ge2
_symmetry_space_group_name_H-M 'C m m m'
_symmetry_Int_Tables_number 65
_symmetry_space_group_name_Hall '-C 2 2'
_cell_length_a 8.1662
_cell_length_b 9.9029
_cell_length_c 6.2921
_cell_angle_alpha 90.00
_cell_angle_beta 90.00
_cell_angle_gamma 90.00
loop_
_atom_site_label
_atom_site_type_symbol
_atom_site_fract_x
_atom_site_fract_y
_atom_site_fract_z
_atom_site_occupancy
Hf1 Hf 0.0000 0.0000 0.0000 1
Hf2 Hf 0.0000 0.5000 0.2533 1
Hf3 Hf 0.2500 0.2500 0.2600 1
Sn1 Sn 0.1796 0.0000 0.5000 1
Ge1 Ge 0.0000 0.2744 0.0000 1

=====

> Look up the total magnetic moment of the sixth one.

2.17 μB/cell

=====

Repeat the fifth record exactly.
# Sr2SnSb4Pd3, relaxed, DFT GGA-PBE
# Final energy (eV/f.u.): -45.6
# Total magnetic moment (μB/cell): 0.00
# Fermi-level density of states (states/eV per atom): 0.527
# Uncorrected formation energy (eV/f.u.): -6.157
data_Sr2SnSb4Pd3
_symmetry_space_group_name_H-M 'P -4 m 2'
_symmetry_Int_Tables_number 115
_cell_length_a 4.7744
_cell_length_b 4.7744
_cell_length_c 11.2796
_cell_angle_alpha 90.00
_cell_angle_beta 90.00
_cell_angle_gamma 90.00
loop_
_symmetry_equiv_pos_as_xyz
'x,y,z'
'y,-x,-z'
'-x,-y,z'
'-y,x,-z'
'-x,y,z'
'-y,-x,-z'
'x,-y,z'
'y,x,-z'
loop_
_atom_site_label
_atom_site_type_symbol
_atom_site_fract_x
_atom_site_fract_y
_atom_site_fract_z
_atom_site_occupancy
Sr1 Sr 0.0000 0.5000 0.2389 1
Sn1 Sn 0.0000 0.0000 0.5000 1
Sb1 Sb 0.0000 0.0000 0.0000 1
Sb2 Sb 0.0000 0.5000 0.6466 1
Sb3 Sb 0.5000 0.5000 0.0000 1
Pd1 Pd 0.0000 0.5000 0.8800 1
Pd2 Pd 0.5000 0.5000 0.5000 1